[1]
First-principles (PBE) data for crystalline ZnMo2 at its relaxed geometry, as listed in the Alexandria database.

Structure (CIF):
```
data_ZnMo2
_symmetry_space_group_name_H-M 'I m m m'
_symmetry_Int_Tables_number 71
_symmetry_space_group_name_Hall '-I 2 2'
_cell_length_a 2.6332
_cell_length_b 4.2735
_cell_length_c 8.2136
_cell_angle_alpha 90.00
_cell_angle_beta 90.00
_cell_angle_gamma 90.00
loop_
_atom_site_label
_atom_site_type_symbol
_atom_site_fract_x
_atom_site_fract_y
_atom_site_fract_z
_atom_site_occupancy
Zn1 Zn 0.0000 0.0000 0.0000 1
Mo1 Mo 0.0000 0.0000 0.3365 1
```

Calculated values
DFT total energy   -7.518 eV/atom
Distance to the lowest polymorph of the same formula   58 meV per atom
Energy of formation   127 meV per atom

***

[2]
First-principles (PBE) data for crystalline ZnMo2 at its relaxed geometry, as listed in the Alexandria database.

Structure (CIF):
```
data_ZnMo2
_symmetry_space_group_name_H-M 'I 41/a m d'
_symmetry_Int_Tables_number 141
_cell_length_a 2.6298
_cell_length_b 2.6298
_cell_length_c 27.2324
_cell_angle_alpha 90.00
_cell_angle_beta 90.00
_cell_angle_gamma 90.00
loop_
_symmetry_equiv_pos_as_xyz
'x,y,z'
'-x,-y,-z'
'-y+1/4,x+3/4,z+1/4'
'y+1/4,-x+3/4,-z+1/4'
'-x+1/2,-y,z+1/2'
'x+1/2,y,-z+1/2'
'y+1/4,-x+1/4,z+3/4'
'-y+1/4,x+1/4,-z+3/4'
'x,-y,-z'
'-x,y,z'
'-y+1/4,-x+1/4,-z+3/4'
'y+1/4,x+1/4,z+3/4'
'-x+1/2,y,-z+1/2'
'x+1/2,-y,z+1/2'
'y+1/4,x+3/4,-z+1/4'
'-y+1/4,-x+3/4,z+1/4'
'x+1/2,y+1/2,z+1/2'
'-x+1/2,-y+1/2,-z+1/2'
'-y+3/4,x+1/4,z+3/4'
'y+3/4,-x+1/4,-z+3/4'
'-x,-y+1/2,z'
'x,y+1/2,-z'
'y+3/4,-x+3/4,z+1/4'
'-y+3/4,x+3/4,-z+1/4'
'x+1/2,-y+1/2,-z+1/2'
'-x+1/2,y+1/2,z+1/2'
'-y+3/4,-x+3/4,-z+1/4'
'y+3/4,x+3/4,z+1/4'
'-x,y+1/2,-z'
'x,-y+1/2,z'
'y+3/4,x+1/4,-z+3/4'
'-y+3/4,-x+1/4,z+3/4'
loop_
_atom_site_label
_atom_site_type_symbol
_atom_site_fract_x
_atom_site_fract_y
_atom_site_fract_z
_atom_site_occupancy
Zn1 Zn 0.0000 0.2500 0.3750 1
Mo1 Mo 0.0000 0.2500 0.7961 1
```

Calculated values
DFT total energy   -7.303 eV/atom
Distance to the lowest polymorph of the same formula   273 meV per atom
Energy of formation   343 meV per atom

***

[3]
First-principles (PBE) data for crystalline ZnMo4 at its relaxed geometry, as listed in the Alexandria database.

Structure (CIF):
```
data_ZnMo4
_symmetry_space_group_name_H-M 'I m -3 m'
_symmetry_Int_Tables_number 229
_symmetry_space_group_name_Hall '-I 4 2 3'
_cell_length_a 5.6586
_cell_length_b 5.6586
_cell_length_c 5.6586
_cell_angle_alpha 90.00
_cell_angle_beta 90.00
_cell_angle_gamma 90.00
loop_
_atom_site_label
_atom_site_type_symbol
_atom_site_fract_x
_atom_site_fract_y
_atom_site_fract_z
_atom_site_occupancy
Zn1 Zn 0.0000 0.0000 0.0000 1
Mo1 Mo 0.2500 0.2500 0.2500 1
```

Calculated values
DFT total energy   -7.526 eV/atom
Distance to the lowest polymorph of the same formula   1164 meV per atom
Energy of formation   1394 meV per atom

***

[4]
First-principles (PBE) data for crystalline ZnMo2 at its relaxed geometry, as listed in the Alexandria database.

Structure (CIF):
```
data_ZnMo2
_symmetry_space_group_name_H-M 'C 1 m 1'
_symmetry_Int_Tables_number 8
_symmetry_space_group_name_Hall 'C -2y'
_cell_length_a 10.5341
_cell_length_b 2.6578
_cell_length_c 6.8588
_cell_angle_alpha 90.00
_cell_angle_beta 103.97
_cell_angle_gamma 90.00
loop_
_atom_site_label
_atom_site_type_symbol
_atom_site_fract_x
_atom_site_fract_y
_atom_site_fract_z
_atom_site_occupancy
Zn1 Zn 0.0000 0.0000 0.0000 1
Zn2 Zn 0.1603 0.5000 0.3271 1
Mo1 Mo 0.0938 0.5000 0.7023 1
Mo2 Mo 0.2698 0.0000 0.0357 1
Mo3 Mo 0.3298 0.0000 0.6727 1
Mo4 Mo 0.4308 0.5000 0.3702 1
```

Calculated values
DFT total energy   -7.385 eV/atom
Distance to the lowest polymorph of the same formula   191 meV per atom
Energy of formation   261 meV per atom

***

[5]
First-principles (PBE) data for crystalline ZnMo2 at its relaxed geometry, as listed in the Alexandria database.

Structure (CIF):
```
data_ZnMo2
_symmetry_space_group_name_H-M 'I m m m'
_symmetry_Int_Tables_number 71
_symmetry_space_group_name_Hall '-I 2 2'
_cell_length_a 2.6138
_cell_length_b 4.7911
_cell_length_c 7.5541
_cell_angle_alpha 90.00
_cell_angle_beta 90.00
_cell_angle_gamma 90.00
loop_
_atom_site_label
_atom_site_type_symbol
_atom_site_fract_x
_atom_site_fract_y
_atom_site_fract_z
_atom_site_occupancy
Zn1 Zn 0.0000 0.0000 0.0000 1
Mo1 Mo 0.0000 0.5000 0.1708 1
```

Calculated values
DFT total energy   -7.397 eV/atom
Distance to the lowest polymorph of the same formula   179 meV per atom
Energy of formation   248 meV per atom

***

[6]
First-principles (PBE) data for crystalline Zn3Mo at its relaxed geometry, as listed in the Alexandria database.

Structure (CIF):
```
data_Zn3Mo
_symmetry_space_group_name_H-M 'P 1 2/m 1'
_symmetry_Int_Tables_number 10
_symmetry_space_group_name_Hall '-P 2y'
_cell_length_a 2.7105
_cell_length_b 4.2510
_cell_length_c 5.2866
_cell_angle_alpha 90.00
_cell_angle_beta 101.63
_cell_angle_gamma 90.00
loop_
_atom_site_label
_atom_site_type_symbol
_atom_site_fract_x
_atom_site_fract_y
_atom_site_fract_z
_atom_site_occupancy
Zn1 Zn 0.0000 0.0000 0.0000 1
Zn2 Zn 0.1313 0.5000 0.7417 1
Mo1 Mo 0.5000 0.0000 0.5000 1
```

Calculated values
DFT total energy   -3.542 eV/atom
Energy of formation   121 meV per atom

***

[7]
First-principles (PBE) data for crystalline Zn3Mo at its relaxed geometry, as listed in the Alexandria database.

Structure (CIF):
```
data_Zn3Mo
_symmetry_space_group_name_H-M 'P m m 2'
_symmetry_Int_Tables_number 25
_symmetry_space_group_name_Hall 'P 2 -2'
_cell_length_a 2.7548
_cell_length_b 4.4557
_cell_length_c 4.8857
_cell_angle_alpha 90.00
_cell_angle_beta 90.00
_cell_angle_gamma 90.00
loop_
_atom_site_label
_atom_site_type_symbol
_atom_site_fract_x
_atom_site_fract_y
_atom_site_fract_z
_atom_site_occupancy
Zn1 Zn 0.0000 0.0000 0.0000 1
Zn2 Zn 0.0000 0.5000 0.3391 1
Zn3 Zn 0.5000 0.5000 0.8156 1
Mo1 Mo 0.5000 0.0000 0.5012 1
```

Calculated values
DFT total energy   -3.536 eV/atom
Energy of formation   127 meV per atom

***

[8]
First-principles (PBE) data for crystalline ZnMo2 at its relaxed geometry, as listed in the Alexandria database.

Structure (CIF):
```
data_ZnMo2
_symmetry_space_group_name_H-M 'P 63/m m c'
_symmetry_Int_Tables_number 194
_symmetry_space_group_name_Hall '-P 6c 2c'
_cell_length_a 4.4555
_cell_length_b 4.4555
_cell_length_c 5.3095
_cell_angle_alpha 90.00
_cell_angle_beta 90.00
_cell_angle_gamma 120.00
loop_
_atom_site_label
_atom_site_type_symbol
_atom_site_fract_x
_atom_site_fract_y
_atom_site_fract_z
_atom_site_occupancy
Zn1 Zn 0.3333 0.6667 0.2500 1
Mo1 Mo 0.0000 0.0000 0.0000 1
Mo2 Mo 0.3333 0.6667 0.7500 1
```

Calculated values
DFT total energy   -7.378 eV/atom
Distance to the lowest polymorph of the same formula   198 meV per atom
Energy of formation   267 meV per atom

***

Q: Which of these has the highest DFT total energy?
A: number 7

***

Q: Among the records above, which one has the highest energy of formation?
A: ZnMo4

***

Q: Among the records above, which one has the lowest DFT total energy?
A: ZnMo4

***

Q: energy of formation of number 4 (ZnMo2)?
A: 261 meV per atom